Here is crystalline YSn2SbPd at its relaxed geometry from Alexandria. Energies are from GGA-PBE.

Geometry as extended XYZ:
```
5
Lattice="5.591 0.000 0.000 0.000 5.653 0.000 0.000 0.000 5.591" Properties=species:S:1:pos:R:3 pbc="T T T"
Sn 0.000 0.000 2.796
Sn 2.796 0.000 0.000
Y 0.000 2.827 0.000
Pd 2.796 2.827 2.796
Sb 0.000 0.000 0.000
```

**ρ**: 5.2 g/cm3
**Space-group type**: P4/mmm, No. 123
**Magnetization**: 0.000 μB/atom
**Formation energy from raw total energies**: 0.63 eV/atom